Entry 1:
A plane-wave DFT calculation with GGA-PBE was carried out for an optimized crystal structure of LaSc2Se.

Calculated values
* E_form (uncorrected): -0.223 eV per atom

Lattice parameters (Å, degrees): 7.3555 7.3555 7.3555 90.00 90.00 90.00
Fractional positions:
La1 0.0000 0.0000 0.0000
La2 0.0000 0.5000 0.5000
La3 0.5000 0.0000 0.5000
La4 0.5000 0.5000 0.0000
Sc1 0.0000 0.0000 0.5000
Sc2 0.0000 0.5000 0.0000
Sc3 0.2500 0.2500 0.2500
Sc4 0.2500 0.7500 0.7500
Sc5 0.5000 0.0000 0.0000
Sc6 0.5000 0.5000 0.5000
Sc7 0.7500 0.2500 0.7500
Sc8 0.7500 0.7500 0.2500
Se1 0.2500 0.2500 0.7500
Se2 0.2500 0.7500 0.2500
Se3 0.7500 0.2500 0.2500
Se4 0.7500 0.7500 0.7500


Entry 2:
A plane-wave DFT calculation with GGA-PBE was carried out for an optimized crystal structure of InFeNi.

Calculated values
* energy relative to the lowest polymorph listed for this composition: 181 meV per atom
* formation energy: 0.2935 eV per atom

Lattice parameters (Å, degrees): 4.4170 4.4170 5.2564 90.00 90.00 120.00
Fractional positions:
In1 0.3333 0.6667 0.2500
In2 0.6667 0.3333 0.7500
Fe1 0.3333 0.6667 0.7500
Fe2 0.6667 0.3333 0.2500
Ni1 0.0000 0.0000 0.0000
Ni2 0.0000 0.0000 0.5000


Entry 3:
A plane-wave DFT calculation with GGA-PBE was carried out for an optimized crystal structure of CaTmRu2O8.

Calculated values
* E_form (uncorrected): -1.640 eV per atom

Lattice parameters (Å, degrees): 5.8560 5.8560 6.7507 90.00 90.00 120.00
Fractional positions:
Ca1 0.0000 0.0000 0.0000
Tm1 0.0000 0.0000 0.5000
Ru1 0.3333 0.6667 0.8004
Ru2 0.6667 0.3333 0.1996
O1 0.1598 0.3196 0.7226
O2 0.1598 0.8402 0.7226
O3 0.3196 0.1598 0.2774
O4 0.3333 0.6667 0.0615
O5 0.6667 0.3333 0.9385
O6 0.6804 0.8402 0.7226
O7 0.8402 0.1598 0.2774
O8 0.8402 0.6804 0.2774


Entry 4:
A plane-wave DFT calculation with GGA-PBE was carried out for an optimized crystal structure of FePbI5.

Calculated values
* E_form (uncorrected): -0.320 eV per atom

Lattice parameters (Å, degrees): 8.2440 8.2440 11.7953 111.30 111.30 86.56
Fractional positions:
Fe1 0.0993 0.9007 0.7500
Fe2 0.9007 0.0993 0.2500
Pb1 0.5000 0.5000 0.0000
Pb2 0.5000 0.5000 0.5000
I1 0.1426 0.2340 0.8262
I2 0.1884 0.7514 0.5522
I3 0.2340 0.1426 0.3262
I4 0.2486 0.8116 0.9478
I5 0.3984 0.6016 0.2500
I6 0.6016 0.3984 0.7500
I7 0.7514 0.1884 0.0522
I8 0.7660 0.8574 0.6738
I9 0.8116 0.2486 0.4478
I10 0.8574 0.7660 0.1738